(1)
The following is a GGA-PBEsol calculation of a relaxed structure of SbMoIrI2, from Alexandria via LeMat-Bulk.

The structure in extended XYZ format:
```
5
Lattice="4.926 0.000 0.000 0.000 5.485 0.000 0.000 0.000 5.485" Properties=species:S:1:pos:R:3 pbc="T T T"
I 0.000 0.000 2.742
I 0.000 2.742 0.000
Sb 2.463 0.000 0.000
Mo 2.463 2.742 2.742
Ir 0.000 0.000 0.000
```

Calculated values
**DOS(E_F)**: 3.34 states/eV/cell
**Calculated volume**: 148.2 Å³ per cell
**Uncorrected formation energy**: 1260 meV per atom

(2)
The following is a GGA-PBEsol calculation of a relaxed structure of Re3SnI, from Alexandria via LeMat-Bulk.

The structure in extended XYZ format:
```
5
Lattice="4.864 0.000 0.000 0.000 4.864 0.000 0.000 0.000 4.864" Properties=species:S:1:pos:R:3 pbc="T T T"
I 2.432 2.432 2.432
Re 0.000 2.432 0.000
Re 0.000 0.000 2.432
Re 2.432 0.000 0.000
Sn 0.000 0.000 0.000
```

Calculated values
**DOS(E_F)**: 6.59 states/eV/cell
**Calculated volume**: 115.1 Å³ per cell
**Uncorrected formation energy**: 3044 meV per atom

(3)
The following is a GGA-PBEsol calculation of a relaxed structure of Pm2AgIr, from Alexandria via LeMat-Bulk.

The structure in extended XYZ format:
```
4
Lattice="-3.668 -2.179 -2.628 0.235 -4.895 -1.046 -3.136 -3.196 2.250" Properties=species:S:1:pos:R:3 pbc="T T T"
Ir -3.285 -5.136 -0.712
Ag 0.000 0.000 0.000
Pm -1.642 -2.568 -0.356
Pm -4.927 -7.703 -1.069
```

Calculated values
**DOS(E_F)**: 2.82 states/eV/cell
**Calculated volume**: 89.0 Å³ per cell
**Energy of formation from the pure elements**: -0.4527 eV per atom

(4)
The following is a GGA-PBEsol calculation of a relaxed structure of Li2CuSiO4, from Alexandria via LeMat-Bulk.

The structure in extended XYZ format:
```
16
Lattice="-2.420 -1.626 -3.876 0.314 -5.063 1.928 -5.243 0.839 3.056" Properties=species:S:1:pos:R:3 pbc="T T T"
Li -1.168 -1.686 -1.611
Li -4.914 -3.496 1.615
Li -2.374 -3.776 3.120
Li -3.599 -3.166 -2.446
Cu -7.291 -5.020 0.778
Cu -3.670 -1.222 -0.108
Si -3.839 -1.031 2.877
Si -2.317 -4.040 0.087
O -7.215 -1.598 -0.178
O -5.902 -3.935 -0.028
O -4.649 -1.569 1.553
O -4.872 -1.931 -1.536
O -3.187 -4.383 1.442
O -2.140 -2.410 -0.049
O -3.126 -4.606 -1.226
O -0.839 -4.783 0.111
```

Calculated values
**DOS(E_F)**: 8.84 states/eV/cell
**Calculated volume**: 161.2 Å³ per cell
**Uncorrected formation energy**: -1987 meV per atom

(5)
The following is a GGA-PBEsol calculation of a relaxed structure of CaVF5, from Alexandria via LeMat-Bulk.

The structure in extended XYZ format:
```
28
Lattice="5.461 0.014 0.000 -2.589 7.102 0.000 0.000 0.000 10.105" Properties=species:S:1:pos:R:3 pbc="T T T"
Ca 0.623 5.291 9.894
Ca 0.954 5.376 4.841
Ca 2.248 1.825 0.211
Ca 1.918 1.740 5.264
V 3.311 4.272 2.490
V -1.735 6.395 7.543
V -0.440 2.844 7.615
V 4.606 0.721 2.562
F 1.855 3.955 1.212
F -0.279 6.712 6.265
F 1.016 3.161 8.893
F 3.150 0.404 3.840
F 2.198 3.575 3.918
F -0.621 7.092 8.971
F 0.674 3.541 6.187
F 3.492 0.024 1.134
F 2.734 5.738 6.095
F -1.157 4.929 1.042
F 0.138 1.378 4.010
F 4.028 2.187 9.063
F 2.284 6.127 8.704
F -0.707 4.539 3.652
F 0.588 0.988 1.401
F 3.578 2.577 6.453
F 2.505 5.980 3.052
F -0.928 4.687 8.104
F 0.367 1.136 7.053
F 3.799 2.429 2.001
```

Calculated values
**DOS(E_F)**: 24.38 states/eV/cell
**Calculated volume**: 392.2 Å³ per cell
**Uncorrected formation energy**: -3311 meV per atom

(6)
The following is a GGA-PBEsol calculation of a relaxed structure of AsP2Br, from Alexandria via LeMat-Bulk.

The structure in extended XYZ format:
```
4
Lattice="3.691 0.000 0.000 0.000 3.691 0.000 0.000 0.000 5.499" Properties=species:S:1:pos:R:3 pbc="T T T"
P 0.000 1.846 0.000
P 1.846 0.000 0.000
As 1.846 1.846 2.750
Br 0.000 0.000 2.750
```

Calculated values
**DOS(E_F)**: 2.18 states/eV/cell
**Calculated volume**: 74.9 Å³ per cell
**Uncorrected formation energy**: 760 meV per atom

(7)
The following is a GGA-PBEsol calculation of a relaxed structure of Sc2CdRh, from Alexandria via LeMat-Bulk.

The structure in extended XYZ format:
```
4
Lattice="3.172 0.000 0.000 0.000 3.275 0.000 0.000 0.000 7.149" Properties=species:S:1:pos:R:3 pbc="T T T"
Sc 0.000 0.000 1.568
Sc 0.000 0.000 5.581
Rh 1.586 1.638 0.000
Cd 1.586 1.638 3.575
```

Calculated values
**DOS(E_F)**: 2.37 states/eV/cell
**Calculated volume**: 74.3 Å³ per cell
**Energy of formation from the pure elements**: -0.6505 eV per atom

(8)
The following is a GGA-PBEsol calculation of a relaxed structure of ScTc2P2, from Alexandria via LeMat-Bulk.

The structure in extended XYZ format:
```
5
Lattice="4.246 0.000 0.000 0.000 4.246 0.000 -2.123 -2.123 4.388" Properties=species:S:1:pos:R:3 pbc="T T T"
Sc 0.000 0.000 0.000
P 0.000 2.123 2.194
P 2.123 0.000 2.194
Tc 0.000 0.000 3.247
Tc 2.123 2.123 1.141
```

Calculated values
**DOS(E_F)**: 3.60 states/eV/cell
**Calculated volume**: 79.1 Å³ per cell
**Energy of formation from the pure elements**: -0.4963 eV per atom

(9)
The following is a GGA-PBEsol calculation of a relaxed structure of LaIr3, from Alexandria via LeMat-Bulk.

The structure in extended XYZ format:
```
4
Lattice="2.863 0.000 0.000 -1.432 4.706 0.014 0.000 -0.913 5.245" Properties=species:S:1:pos:R:3 pbc="T T T"
Ir 1.432 1.621 3.655
Ir 0.000 2.172 1.604
Ir 0.000 -0.456 2.623
La 1.432 0.000 0.000
```

Calculated values
**DOS(E_F)**: 2.81 states/eV/cell
**Calculated volume**: 70.7 Å³ per cell
**Energy of formation from the pure elements**: 0.0276 eV per atom

(10)
The following is a GGA-PBEsol calculation of a relaxed structure of Hf8Ni4N, from Alexandria via LeMat-Bulk.

The structure in extended XYZ format:
```
26
Lattice="8.425 0.000 0.000 4.213 7.304 0.004 4.213 2.419 6.892" Properties=species:S:1:pos:R:3 pbc="T T T"
Hf 12.638 7.937 3.041
Hf 8.425 4.247 5.600
Hf 14.225 8.810 5.578
Hf 6.839 3.316 3.021
Hf 11.051 8.810 5.578
Hf 10.012 3.316 3.021
Hf 4.213 1.786 3.855
Hf 8.425 5.476 1.296
Hf 2.626 0.914 1.318
Hf 10.012 6.408 3.874
Hf 5.799 0.914 1.318
Hf 6.839 6.408 3.874
Hf 6.319 3.652 0.002
Hf 2.106 3.652 0.002
Hf 4.213 4.862 3.448
Hf 0.000 0.000 0.000
Ni 11.032 5.768 1.502
Ni 5.819 5.768 1.502
Ni 8.425 7.266 5.863
Ni 4.213 3.075 1.470
Ni 5.819 3.956 5.393
Ni 11.032 3.956 5.393
Ni 8.425 2.457 1.032
Ni 12.638 6.649 5.426
N 2.106 1.210 3.446
N 6.319 1.210 3.446
```

Calculated values
**DOS(E_F)**: 21.65 states/eV/cell
**Calculated volume**: 424.1 Å³ per cell
**Uncorrected formation energy**: -634 meV per atom

(11)
The following is a GGA-PBEsol calculation of a relaxed structure of TcAsSe2I, from Alexandria via LeMat-Bulk.

The structure in extended XYZ format:
```
5
Lattice="-2.002 0.785 -4.820 0.667 -5.117 -1.110 -4.770 -1.016 1.816" Properties=species:S:1:pos:R:3 pbc="T T T"
I 0.000 0.000 0.000
As -2.385 -0.508 0.908
Tc -3.053 -2.674 -2.057
Se 0.334 -2.558 -0.555
Se -1.001 0.392 -2.410
```

Calculated values
**DOS(E_F)**: 3.73 states/eV/cell
**Calculated volume**: 145.0 Å³ per cell
**Uncorrected formation energy**: 1736 meV per atom

(12)
The following is a GGA-PBEsol calculation of a relaxed structure of AsIrC3, from Alexandria via LeMat-Bulk.

The structure in extended XYZ format:
```
5
Lattice="3.814 0.000 0.000 0.000 3.814 0.000 0.000 0.000 3.814" Properties=species:S:1:pos:R:3 pbc="T T T"
As 0.000 0.000 0.000
Ir 1.907 1.907 1.907
C 0.000 1.907 0.000
C 0.000 0.000 1.907
C 1.907 0.000 0.000
```

Calculated values
**DOS(E_F)**: 3.52 states/eV/cell
**Calculated volume**: 55.5 Å³ per cell
**Energy of formation from the pure elements**: 2.8335 eV per atom